a:
Pm6Co2Ag PBE-GGA optimized geometry; D(E_F) = 9.05 states/eV/f.u.; total moment = 0.00 Bohr magnetons per cell; symmetry = No. 71
1.0
-4.7456 4.9685 5.0517
4.7456 -4.9685 5.0517
4.7456 4.9685 -5.0517
Pm Co Ag
12 4 2
direct
0.0302 0.2299 0.8004
0.1802 0.2846 0.4649
0.1802 0.7154 0.8956
0.3240 0.0114 0.6874
0.3240 0.6366 0.3126
0.4295 0.2299 0.1996
0.5705 0.7701 0.8004
0.6760 0.3634 0.6874
0.6760 0.9886 0.3126
0.8198 0.2846 0.1044
0.8198 0.7154 0.5351
0.9698 0.7701 0.1996
0.1133 0.6133 0.5000
0.3419 0.0000 0.3419
0.6581 0.0000 0.6581
0.8867 0.3867 0.5000
0.0000 0.0000 0.0000
0.5000 0.5000 0.0000

***

b:
Pm6Co2Ag PBE-GGA optimized geometry; D(E_F) = 8.57 states/eV/f.u.; total moment = 0.00 Bohr magnetons per cell; symmetry = No. 12
1.0
5.0249 -2.5964 0.0000
5.0249 2.5964 0.0000
-1.5322 0.0000 8.8256
Pm Co Ag
6 2 1
direct
0.0383 0.0383 0.3418
0.2885 0.2885 0.6595
0.3438 0.3438 0.1150
0.6562 0.6562 0.8850
0.7115 0.7115 0.3405
0.9617 0.9617 0.6582
0.3905 0.3905 0.4061
0.6095 0.6095 0.5939
0.0000 0.0000 0.0000

***

It is b that is the least stable of them.

***

a:
Pm6CoAg2 PBE-GGA optimized geometry; D(E_F) = 8.79 states/eV/f.u.; total moment = 0.46 Bohr magnetons per cell; symmetry = No. 71
1.0
-4.8613 4.9919 5.1519
4.8613 -4.9919 5.1519
4.8613 4.9919 -5.1519
Pm Co Ag
12 2 4
direct
0.0828 0.2494 0.8334
0.1816 0.2708 0.4523
0.1816 0.7292 0.9108
0.2752 0.6083 0.3331
0.2752 0.9421 0.6669
0.4161 0.2494 0.1666
0.5839 0.7506 0.8334
0.7248 0.0579 0.3331
0.7248 0.3917 0.6669
0.8184 0.2708 0.0892
0.8184 0.7292 0.5477
0.9172 0.7506 0.1666
0.0000 0.0000 0.0000
0.0000 0.5000 0.5000
0.3525 0.0000 0.3525
0.5000 0.3621 0.8621
0.5000 0.6379 0.1379
0.6475 0.0000 0.6475

***

b:
Pm6CoAg2 PBE-GGA optimized geometry; D(E_F) = 10.50 states/eV/f.u.; total moment = 0.00 Bohr magnetons per cell; symmetry = No. 14
1.0
6.8947 0.0000 0.0000
0.0000 7.4307 0.0000
-6.7953 0.0000 10.3352
Pm Co Ag
12 2 4
direct
0.1322 0.1907 0.4470
0.1322 0.3093 0.9470
0.2690 0.6891 0.4474
0.2690 0.8109 0.9474
0.3673 0.0126 0.2497
0.3673 0.4874 0.7497
0.6327 0.5126 0.2503
0.6327 0.9874 0.7503
0.7310 0.1891 0.0526
0.7310 0.3109 0.5526
0.8678 0.6907 0.0530
0.8678 0.8093 0.5530
0.0000 0.0000 0.0000
0.0000 0.5000 0.5000
0.2015 0.0988 0.7510
0.2015 0.4012 0.2510
0.7985 0.5988 0.7490
0.7985 0.9012 0.2490

***

It is a that is the least stable of them.